Compound: Cs4Ac3PmO8
Source: Alexandria
Functional: PBE
Structure: optimized geometry

a = 7.7125 Å, b = 8.2940 Å, c = 7.7124 Å
α = 117.72°, β = 120.00°, γ = 90.00°
Positions (direct):
Ac (0.5000, 0.5000, 0.5000)
O (0.2751, 0.3254, 0.5502)
Pm (0.0000, 0.5000, 0.0000)
O (0.2643, 0.3284, 0.0463)
Cs (0.0000, 0.0000, 0.0000)
O (0.7249, 0.6746, 0.4498)
O (0.2180, 0.6716, 0.4360)
Cs (0.0000, 0.0000, 0.5000)
Ac (0.0000, 0.5000, 0.5000)
Cs (0.5000, 0.0000, 0.5000)
O (0.7820, 0.3284, 0.5640)
O (0.7820, 0.3284, 0.0463)
O (0.2180, 0.6716, 0.9537)
Cs (0.5000, 0.0000, 0.0000)
Ac (0.5000, 0.5000, 0.0000)
O (0.7357, 0.6716, 0.9537)

## Properties
The volume comes out at 360 Å³ per cell. As for the uncorrected formation energy: -2500.5 meV per atom. The calculation puts the magnetization at 0.0 μB per formula unit. As for the space group: R-3m. As for the total energy: -6.26 eV per atom.